First-principles (GGA+U) data for LiCoPO4 after structural relaxation, as listed in Alexandria.

Computed properties:
Excess energy over the best structure of this formula in the dataset ... 0.0652 eV/atom
Size of the total moment ... 24.31 μB per cell

Cell lengths 5.0990, 8.2305, 18.7740 Å; angles 90.00, 90.00, 90.00 degrees
Fractional coordinates of all 56 atoms:
O 0.6128 0.7825 0.7511
O 0.6493 0.1663 0.6248
O 0.6906 0.3860 0.4686
O 0.0336 0.1970 0.4156
O 0.0336 0.6970 0.0844
O 0.1072 0.4210 0.9649
O 0.0428 0.8133 0.8189
O 0.5428 0.6867 0.3189
O 0.1072 0.9210 0.5351
O 0.1128 0.7175 0.2511
O 0.5336 0.8030 0.5844
O 0.5336 0.3030 0.9156
O 0.1128 0.2175 0.2489
O 0.1037 0.7623 0.6495
O 0.6128 0.2825 0.7489
O 0.1037 0.2623 0.8505
O 0.6072 0.0790 0.4649
O 0.6493 0.6663 0.8752
O 0.6294 0.9645 0.8589
O 0.1493 0.3337 0.1248
O 0.6294 0.4645 0.6411
O 0.0428 0.3133 0.6811
O 0.1493 0.8337 0.3752
O 0.1294 0.5355 0.3589
O 0.1906 0.6140 0.5314
O 0.5428 0.1867 0.1811
O 0.6072 0.5790 0.0351
O 0.1294 0.0355 0.1411
O 0.6037 0.2377 0.3505
O 0.1906 0.1140 0.9686
O 0.6906 0.8860 0.0314
O 0.6037 0.7377 0.1495
P 0.7484 0.3042 0.6740
P 0.7315 0.7312 0.0744
P 0.7484 0.8042 0.8260
P 0.2484 0.6958 0.3260
P 0.7315 0.2312 0.4256
P 0.2315 0.7688 0.5744
P 0.2484 0.1958 0.1740
P 0.2315 0.2688 0.9256
Co 0.2443 0.4972 0.0604
Co 0.7397 0.6811 0.6647
Co 0.7443 0.5028 0.9396
Co 0.2397 0.8189 0.1647
Co 0.7443 0.0028 0.5604
Co 0.7397 0.1811 0.8353
Co 0.2397 0.3189 0.3353
Co 0.2443 0.9972 0.4396
Li 0.4555 0.9378 0.9503
Li 0.2532 0.3281 0.7589
Li 0.4555 0.4378 0.5497
Li 0.7532 0.6719 0.2411
Li 0.9555 0.5622 0.4503
Li 0.7532 0.1719 0.2589
Li 0.9555 0.0622 0.0497
Li 0.2532 0.8281 0.7411